1.
Here is a geometry-optimized PmNd3Sm3Se8 structure from the Alexandria database. Energies are from GGA-PBE.

Total magnetization (μB/cell): 0.0
SG: R-3m (166)
Uncorrected formation energy (eV/atom): -1.8723

Lattice parameters (Å, degrees): 8.3680 8.3683 8.3847 119.93 90.00 120.00
Closest atoms and distances in Å follow each position.
Positions (direct):
1 Pm 0.0000 0.0000 0.5000  6 Se 2.99
2 Nd 0.0000 0.0000 0.0000  6 Se 2.98
3 Nd 0.0000 0.5000 0.0000  6 Se 2.98
4 Nd 0.5000 0.5000 0.0000  6 Se 2.98
5 Sm 0.5000 0.0000 0.5000  6 Se 2.94
6 Sm 0.5000 0.5000 0.5000  6 Se 2.94
7 Sm 0.0000 0.5000 0.5000  6 Se 2.94
8 Se 0.2516 0.5032 0.2547  3 Sm 2.94, 3 Nd 2.98
9 Se 0.7484 0.4968 0.7453  3 Sm 2.94, 3 Nd 2.98
10 Se 0.7472 0.4944 0.2504  2 Sm 2.94, 2 Nd 2.98, 1 Pm 2.99
11 Se 0.2528 0.5056 0.7496  2 Sm 2.94, 2 Nd 2.98, 1 Pm 2.99
12 Se 0.7472 0.0032 0.2504  2 Sm 2.94, 2 Nd 2.98, 1 Pm 2.99
13 Se 0.2528 0.9968 0.7496  2 Sm 2.94, 2 Nd 2.98, 1 Pm 2.99
14 Se 0.2560 0.0032 0.2504  2 Sm 2.94, 2 Nd 2.98, 1 Pm 2.99
15 Se 0.7440 0.9968 0.7496  2 Sm 2.94, 2 Nd 2.98, 1 Pm 2.99


2.
Here is a geometry-optimized Ce2Pm3PrY6 structure from the Alexandria database. Energies are from GGA-PBE.

Total magnetization (μB/cell): 2.0
ΔH_f (0 K) (eV/atom): 0.05
SG: C2/m (12)

Lattice parameters (Å, degrees): 6.2403 6.2403 11.8411 95.04 95.04 120.00
Closest atoms and distances in Å follow each position.
Positions (direct):
1 Ce 0.3333 0.6667 0.0000  6 Y 3.56, 3 Pr 3.60, 3 Ce 3.60
2 Ce 0.6667 0.3333 0.0000  6 Y 3.56, 3 Pr 3.60, 3 Ce 3.60
3 Pm 0.1661 0.8339 0.5000  6 Pm 3.59-3.61, 6 Y 3.59-3.61
4 Pm 0.8339 0.1661 0.5000  6 Pm 3.59-3.61, 6 Y 3.59-3.61
5 Pm 0.5000 0.5000 0.5000  6 Y 3.59-3.60, 6 Pm 3.60-3.61
6 Pr 0.0000 0.0000 0.0000  6 Y 3.57, 6 Ce 3.60
7 Y 0.9172 0.5815 0.7521  2 Ce 3.56, 1 Pr 3.57, 6 Y 3.59-3.63, 3 Pm 3.59-3.61
8 Y 0.7470 0.7470 0.2479  2 Ce 3.56, 1 Pr 3.57, 6 Y 3.59-3.63, 3 Pm 3.59-3.60
9 Y 0.0828 0.4185 0.2479  2 Ce 3.56, 1 Pr 3.57, 6 Y 3.59-3.63, 3 Pm 3.59-3.61
10 Y 0.5815 0.9172 0.7521  2 Ce 3.56, 1 Pr 3.57, 6 Y 3.59-3.63, 3 Pm 3.59-3.61
11 Y 0.2530 0.2530 0.7521  2 Ce 3.56, 1 Pr 3.57, 6 Y 3.59-3.63, 3 Pm 3.59-3.60
12 Y 0.4185 0.0828 0.2479  2 Ce 3.56, 1 Pr 3.57, 6 Y 3.59-3.63, 3 Pm 3.59-3.61


3.
Here is a geometry-optimized Y2PuTe4 structure from the Alexandria database. Energies are from GGA-PBE.

Total magnetization (μB/cell): 12.0
SG: I-42d (122)
Uncorrected formation energy (eV/atom): -1.2721
Excess energy over the best structure of this formula in the dataset (meV/atom): 11

Lattice parameters (Å, degrees): 8.1074 8.1074 8.1074 109.13 110.16 109.13
Closest atoms and distances in Å follow each position.
Positions (direct):
1 Y 0.3750 0.8784 0.7534  8 Te 3.10-3.36
2 Y 0.5034 0.3784 0.6250  8 Te 3.10-3.36
3 Y 0.8750 0.1216 0.4966  8 Te 3.10-3.36
4 Y 0.2466 0.6216 0.1250  8 Te 3.10-3.36
5 Pu 0.7500 0.5000 0.2500  8 Te 3.17-3.34
6 Pu 0.0000 0.0000 0.0000  8 Te 3.17-3.34
7 Te 0.7699 0.2493 0.8706  4 Y 3.10-3.36, 2 Pu 3.17-3.34
8 Te 0.9801 0.6007 0.7295  4 Y 3.10-3.36, 2 Pu 3.17-3.34
9 Te 0.6213 0.7507 0.5205  4 Y 3.10-3.36, 2 Pu 3.17-3.34
10 Te 0.1287 0.3993 0.3794  4 Y 3.10-3.36, 2 Pu 3.17-3.34
11 Te 0.4795 0.1007 0.2301  4 Y 3.10-3.36, 2 Pu 3.17-3.34
12 Te 0.6206 0.7493 0.0199  4 Y 3.10-3.36, 2 Pu 3.17-3.34
13 Te 0.2705 0.2507 0.8713  4 Y 3.10-3.36, 2 Pu 3.17-3.34
14 Te 0.1294 0.8993 0.3787  4 Y 3.10-3.36, 2 Pu 3.17-3.34


4.
Here is a geometry-optimized Ba2SbPb structure from the Alexandria database. Energies are from GGA-PBE.

Total magnetization (μB/cell): 0.0
SG: P4/mmm (123)
Uncorrected formation energy (eV/atom): -0.6867
Excess energy over the best structure of this formula in the dataset (meV/atom): 37

Lattice parameters (Å, degrees): 5.5999 5.5999 4.8685 90.00 90.00 90.00
Closest atoms and distances in Å follow each position.
Positions (direct):
1 Ba 0.0000 0.0000 0.0000  4 Pb 3.71, 4 Sb 3.71, 4 Ba 3.96
2 Ba 0.5000 0.5000 0.0000  4 Pb 3.71, 4 Sb 3.71, 4 Ba 3.96
3 Pb 0.5000 0.0000 0.5000  8 Ba 3.71, 4 Sb 3.96
4 Sb 0.0000 0.5000 0.5000  8 Ba 3.71, 4 Pb 3.96